{
  "formula": "ReTcSn2",
  "functional": "PBE",
  "state": "relaxed",
  "energy_ev_per_atom": -7.003,
  "magnetic_moment_mub_per_fu": 0.02,
  "cell": [[0.000, 3.320, 3.320], [3.320, 0.000, 3.320], [3.320, 3.320, 0.000]],
  "species": ["Re", "Sn", "Sn", "Tc"],
  "fractional_positions": [[0.750, 0.750, 0.750], [0.500, 0.500, 0.500], [0.250, 0.250, 0.250], [0.000, 0.000, 0.000]]
}